RbCdPb | PBE | relaxed

```
data_RbCdPb
_cell_length_a 12.487
_cell_length_b 5.429
_cell_length_c 8.743
_cell_angle_alpha 90.00
_cell_angle_beta 132.55
_cell_angle_gamma 90.00
_space_group_name_H-M_alt 'C 1 2/m 1'
_space_group_IT_number 12
_space_group_name_Hall '-C 2y'
loop_
_atom_site_label
_atom_site_type_symbol
_atom_site_fract_x
_atom_site_fract_y
_atom_site_fract_z
Rb1 Rb 0.245 0.000 0.170
Cd1 Cd 0.074 0.500 0.229
Pb1 Pb 0.084 0.000 0.424
```

Calculated values
The value obtained for the formation energy from the elements is -0.1077 eV per atom. The value obtained for the density of states at the Fermi level is 8.344 states/eV per cell. For the relative energy among the computed polymorphs, the calculation gives 0.0 meV/atom. Its calculated volume is 436.68 Å³ per cell.

***

Pm12PrDy5 | PBE | relaxed

```
data_Pm12PrDy5
_cell_length_a 12.175
_cell_length_b 17.057
_cell_length_c 5.830
_cell_angle_alpha 90.00
_cell_angle_beta 90.01
_cell_angle_gamma 90.00
_space_group_name_H-M_alt 'C 1 2/m 1'
_space_group_IT_number 12
_space_group_name_Hall '-C 2y'
loop_
_atom_site_label
_atom_site_type_symbol
_atom_site_fract_x
_atom_site_fract_y
_atom_site_fract_z
Pm1 Pm 0.150 0.179 0.495
Pm2 Pm 0.151 0.321 0.005
Pm3 Pm 0.196 0.000 0.043
Pm4 Pm 0.202 0.500 0.455
Pr1 Pr 0.000 0.500 0.000
Dy1 Dy 0.000 0.000 0.500
Dy2 Dy 0.000 0.137 0.000
Dy3 Dy 0.000 0.362 0.500
```

Calculated values
The value obtained for the formation energy from the elements is 0.0838 eV per atom. The value obtained for the density of states at the Fermi level is 53.615 states/eV per cell. Its calculated volume is 1210.63 Å³ per cell.

***

AcTbCdIr | PBE | relaxed

```
data_AcTbCdIr
_cell_length_a 7.469
_cell_length_b 7.469
_cell_length_c 7.469
_cell_angle_alpha 90.00
_cell_angle_beta 90.00
_cell_angle_gamma 90.00
_space_group_name_H-M_alt 'F -4 3 m'
_space_group_IT_number 216
_space_group_name_Hall 'F -4 2 3'
loop_
_atom_site_label
_atom_site_type_symbol
_atom_site_fract_x
_atom_site_fract_y
_atom_site_fract_z
Ac1 Ac 0.000 0.000 0.000
Tb1 Tb 0.000 0.000 0.500
Cd1 Cd 0.250 0.250 0.250
Ir1 Ir 0.250 0.250 0.750
```

Calculated values
The value obtained for the formation energy from the elements is -0.3669 eV per atom. The value obtained for the density of states at the Fermi level is 7.794 states/eV per cell. Its calculated volume is 416.60 Å³ per cell.

***

CeDyGaOs | PBE | relaxed

```
data_CeDyGaOs
_cell_length_a 3.876
_cell_length_b 4.116
_cell_length_c 11.399
_cell_angle_alpha 90.00
_cell_angle_beta 90.00
_cell_angle_gamma 90.00
_space_group_name_H-M_alt 'A m m 2'
_space_group_IT_number 38
_space_group_name_Hall 'A 2 -2'
loop_
_atom_site_label
_atom_site_type_symbol
_atom_site_fract_x
_atom_site_fract_y
_atom_site_fract_z
Ce1 Ce 0.000 0.000 0.000
Dy1 Dy 0.500 0.000 0.279
Ga1 Ga 0.000 0.000 0.701
Os1 Os 0.500 0.000 0.543
```

Calculated values
The value obtained for the formation energy from the elements is -0.4231 eV per atom. The value obtained for the density of states at the Fermi level is 8.184 states/eV per cell. For the relative energy among the computed polymorphs, the calculation gives 0.0 meV/atom. Its calculated volume is 181.89 Å³ per cell.

***

Tm8GaSn2 | PBE | relaxed

```
data_Tm8GaSn2
_cell_length_a 19.084
_cell_length_b 4.965
_cell_length_c 6.610
_cell_angle_alpha 90.00
_cell_angle_beta 104.34
_cell_angle_gamma 90.00
_space_group_name_H-M_alt 'C 1 2/m 1'
_space_group_IT_number 12
_space_group_name_Hall '-C 2y'
loop_
_atom_site_label
_atom_site_type_symbol
_atom_site_fract_x
_atom_site_fract_y
_atom_site_fract_z
Tm1 Tm 0.021 0.000 0.276
Tm2 Tm 0.091 0.500 0.969
Tm3 Tm 0.152 0.500 0.501
Tm4 Tm 0.217 0.000 0.821
Ga1 Ga 0.000 0.500 0.500
Sn1 Sn 0.181 0.000 0.260
```

Calculated values
The value obtained for the formation energy from the elements is -0.3535 eV per atom. The value obtained for the density of states at the Fermi level is 18.188 states/eV per cell. Its calculated volume is 606.82 Å³ per cell.

***

Cs3Th3InSe8 | PBE | relaxed

```
data_Cs3Th3InSe8
_cell_length_a 8.9035
_cell_length_b 8.9035
_cell_length_c 24.9472
_cell_angle_alpha 90.00
_cell_angle_beta 90.00
_cell_angle_gamma 120.00
_space_group_name_H-M_alt 'R -3 m'
_space_group_IT_number 166
_space_group_name_Hall '-R 3 2"'
loop_
_atom_site_label
_atom_site_type_symbol
_atom_site_fract_x
_atom_site_fract_y
_atom_site_fract_z
Cs1 Cs 0.0000 0.5000 0.0000
Th1 Th 0.0000 0.5000 0.5000
In1 In 0.0000 0.0000 0.5000
Se1 Se 0.0000 0.0000 0.2306
Se2 Se 0.0284 0.5142 0.7720
```

Calculated values
Its calculated volume is 1712.78 Å³ per cell. The value obtained for the uncorrected formation energy is -1.47 eV/atom.

***

What is the calculated volume in the first record? 436.68 Å³ per cell